Below is an optimized crystal structure of PuZrMnCo, with properties calculated at the PBE level.

Cell lengths 6.5137, 6.5137, 6.5137 Å; angles 90.00, 90.00, 90.00 degrees
Closest atoms and distances in Å follow each position.
Space group F-43m (No. 216)
Symmetry-distinct sites (fractional):
Pu 0.0000 0.0000 0.0000  4 Mn 2.82, 4 Co 2.82
Zr 0.0000 0.0000 0.5000  4 Mn 2.82, 4 Co 2.82
Mn 0.2500 0.2500 0.2500  4 Zr 2.82, 4 Pu 2.82
Co 0.2500 0.2500 0.7500  4 Zr 2.82, 4 Pu 2.82

## Properties
energy relative to the elements = 0.00 eV per atom



Below is an optimized crystal structure of Li2SbPt2, with properties calculated at the PBE level.

Cell lengths 7.9058, 4.5242, 5.2203 Å; angles 90.00, 90.23, 90.00 degrees
Closest atoms and distances in Å follow each position.
Space group C2/m (No. 12)
Symmetry-distinct sites (fractional):
Li 0.1658 0.0000 0.1207  2 Pt 2.60-2.62, 1 Li 2.90
Sb 0.0000 0.5000 0.5000  6 Pt 2.69-2.70
Pt 0.1674 0.0000 0.6189  2 Li 2.60-2.62, 3 Sb 2.69-2.70, 2 Pt 2.89

## Properties
energy relative to the lowest polymorph listed for this composition = 0.45 eV per formula unit



Below is an optimized crystal structure of Li4Pd3Pb4, with properties calculated at the PBE level.

Cell lengths 3.1515, 4.7653, 29.0776 Å; angles 90.00, 90.00, 90.00 degrees
Closest atoms and distances in Å follow each position.
Space group Immm (No. 71)
Symmetry-distinct sites (fractional):
Li 0.0000 0.0000 0.0427  1 Li 2.48, 2 Pb 2.68
Li 0.0000 0.5000 0.1744  3 Pb 2.59-2.71
Pd 0.0000 0.0000 0.5000  4 Pb 2.94, 8 Li 3.11, 2 Pd 3.15
Pd 0.0000 0.5000 0.3700  6 Li 2.99-3.14, 6 Pb 3.03-3.14, 2 Pd 3.15
Pb 0.0000 0.0000 0.2191  2 Li 2.71, 2 Pd 3.03
Pb 0.0000 0.5000 0.0852  3 Li 2.59-2.68

## Properties
energy relative to the elements = -0.18 eV per atom



Below is an optimized crystal structure of KTcRu2, with properties calculated at the PBE level.

Cell lengths 9.0609, 2.7942, 6.7286 Å; angles 90.00, 96.10, 90.00 degrees
Closest atoms and distances in Å follow each position.
Space group Cm (No. 8)
Symmetry-distinct sites (fractional):
K 0.0000 0.0000 0.0000  2 K 2.79
Tc 0.2811 0.5000 0.3746  5 Ru 2.49-2.68
Ru 0.0080 0.5000 0.4923  3 Tc 2.54-2.68, 4 Ru 2.59-2.79
Ru 0.2258 0.0000 0.6641  2 Tc 2.49, 2 Ru 2.59

## Properties
energy relative to the lowest polymorph listed for this composition = 1.06 eV per formula unit
energy relative to the elements = 0.91 eV per atom



Below is an optimized crystal structure of PdI2NCl, with properties calculated at the PBE level.

Cell lengths 5.8247, 5.8247, 3.7031 Å; angles 90.00, 90.00, 90.00 degrees
Closest atoms and distances in Å follow each position.
Space group P4/mmm (No. 123)
Symmetry-distinct sites (fractional):
Pd 0.0000 0.0000 0.0000  2 N 1.85
I 0.0000 0.5000 0.0000  2 Pd 2.91
N 0.0000 0.0000 0.5000  2 Pd 1.85
Cl 0.5000 0.5000 0.5000  8 I 3.45, 2 Cl 3.70

## Properties
energy relative to the lowest polymorph listed for this composition = 0.00 eV per formula unit



Below is an optimized crystal structure of LiCaHfPt, with properties calculated at the PBE level.

Cell lengths 6.7951, 6.7951, 6.7951 Å; angles 90.00, 90.00, 90.00 degrees
Closest atoms and distances in Å follow each position.
Space group F-43m (No. 216)
Symmetry-distinct sites (fractional):
Li 0.0000 0.0000 0.0000  4 Hf 2.94, 4 Ca 2.94
Ca 0.2500 0.2500 0.7500  4 Li 2.94, 4 Pt 2.94
Hf 0.2500 0.2500 0.2500  4 Li 2.94, 4 Pt 2.94
Pt 0.0000 0.0000 0.5000  4 Hf 2.94, 4 Ca 2.94

## Properties
energy relative to the elements = -0.38 eV per atom